(1)
Computed, not measured: a relaxed structure of Sr2AcSn2Hg2 at the PBE level of DFT.

Values from the calculation:
Total magnetization = 0.000 μB per atom
Electronic total energy = -2.73 eV per atom

Unit cell a=10.1349 b=10.1349 c=10.1349 alpha=29.55 beta=29.55 gamma=29.55
Last column: nearest neighbours and their distance in Å.
Sites, in units of the cell vectors:
1 Sr 0.1340 0.1340 0.1340  3 Hg 3.18, 3 Sr 3.54, 3 Sn 3.56
2 Sr 0.8660 0.8660 0.8660  3 Hg 3.18, 3 Sr 3.54, 3 Sn 3.56
3 Ac 0.0000 0.0000 0.0000  6 Sn 3.57, 2 Sr 3.89
4 Sn 0.2660 0.2660 0.2660  3 Hg 3.10
5 Sn 0.7340 0.7340 0.7340  3 Hg 3.10
6 Hg 0.4297 0.4297 0.4297  3 Sn 3.10, 3 Sr 3.18
7 Hg 0.5703 0.5703 0.5703  3 Sn 3.10, 3 Sr 3.18



(2)
Computed, not measured: a relaxed structure of Nd6AgSb3 at the PBE level of DFT.

Values from the calculation:
Total magnetization = 0.000 μB per atom
Electronic total energy = -4.99 eV per atom
ΔE_f (raw) = -0.606 eV/atom

Unit cell a=9.6812 b=9.6812 c=7.4827 alpha=90.00 beta=90.00 gamma=105.61
Last column: nearest neighbours and their distance in Å.
Sites, in units of the cell vectors:
1 Nd 0.0135 0.9865 0.5000  2 Ag 3.03-3.25, 4 Sb 3.17-3.28
2 Nd 0.0903 0.5449 0.0407  1 Ag 3.10, 3 Sb 3.13-3.22
3 Nd 0.2532 0.7468 0.6173  1 Ag 3.17, 3 Sb 3.32-3.42
4 Nd 0.2771 0.3661 0.6257  4 Sb 3.12-3.24
5 Nd 0.3661 0.2771 0.1257  4 Sb 3.12-3.24
6 Nd 0.4551 0.9097 0.0407  1 Ag 3.10, 3 Sb 3.13-3.22
7 Nd 0.5449 0.0903 0.5407  1 Ag 3.10, 3 Sb 3.13-3.22
8 Nd 0.6339 0.7229 0.6257  4 Sb 3.12-3.24
9 Nd 0.7229 0.6339 0.1257  4 Sb 3.12-3.24
10 Nd 0.7468 0.2532 0.1173  1 Ag 3.17, 3 Sb 3.32-3.42
11 Nd 0.9097 0.4551 0.5407  1 Ag 3.10, 3 Sb 3.13-3.22
12 Nd 0.9865 0.0135 0.0000  2 Ag 3.03-3.25, 4 Sb 3.17-3.28
13 Ag 0.1627 0.8373 0.2377  5 Nd 3.03-3.25
14 Ag 0.8373 0.1627 0.7377  5 Nd 3.03-3.25
15 Sb 0.0693 0.2789 0.2864  7 Nd 3.12-3.32
16 Sb 0.2789 0.0693 0.7864  7 Nd 3.12-3.32
17 Sb 0.4146 0.5854 0.9300  7 Nd 3.15-3.42
18 Sb 0.5854 0.4146 0.4300  7 Nd 3.15-3.42
19 Sb 0.7211 0.9307 0.2864  7 Nd 3.12-3.32
20 Sb 0.9307 0.7211 0.7864  7 Nd 3.12-3.32



(3)
Computed, not measured: a relaxed structure of Ga2SiSe at the PBE level of DFT.

Values from the calculation:
E above lowest polymorph = 2.17 eV per formula unit
Total magnetization = 0.000 μB per atom
Electronic total energy = -3.45 eV per atom
ΔE_f (raw) = 0.289 eV/atom

Unit cell a=4.7596 b=4.7596 c=4.7596 alpha=60.00 beta=60.00 gamma=60.00
Last column: nearest neighbours and their distance in Å.
Sites, in units of the cell vectors:
1 Ga 0.2500 0.2500 0.2500  4 Se 2.91, 4 Si 2.91
2 Ga 0.7500 0.7500 0.7500  4 Se 2.91, 4 Si 2.91
3 Si 0.0000 0.0000 0.0000  8 Ga 2.91
4 Se 0.5000 0.5000 0.5000  8 Ga 2.91



(4)
Computed, not measured: a relaxed structure of La3TbSc at the PBE level of DFT.

Values from the calculation:
Total magnetization = 0.000 μB per atom
Electronic total energy = -5.07 eV per atom

Unit cell a=9.9891 b=9.9891 c=6.0391 alpha=90.00 beta=90.00 gamma=146.22
Last column: nearest neighbours and their distance in Å.
Sites, in units of the cell vectors:
1 La 0.0501 0.9499 0.5000  3 Sc 3.46-3.77, 2 Tb 3.50, 7 La 3.58-3.82
2 La 0.2486 0.7514 0.4300  3 Sc 3.32-3.53, 3 Tb 3.39-3.52, 1 La 3.72
3 La 0.4423 0.5577 0.3800  2 Sc 3.43, 2 Tb 3.45-3.46, 7 La 3.63-3.74
4 La 0.5577 0.4423 0.8800  2 Sc 3.43, 2 Tb 3.45-3.46, 7 La 3.63-3.74
5 La 0.7514 0.2486 0.9300  3 Sc 3.32-3.53, 3 Tb 3.39-3.52, 1 La 3.72
6 La 0.9499 0.0501 0.0000  3 Sc 3.46-3.77, 2 Tb 3.50, 7 La 3.58-3.82
7 Tb 0.3548 0.6452 0.8805  7 La 3.39-3.52, 2 Sc 3.76
8 Tb 0.6452 0.3548 0.3805  7 La 3.39-3.52, 2 Sc 3.76
9 Sc 0.1473 0.8527 0.9835  7 La 3.32-3.63
10 Sc 0.8527 0.1473 0.4835  7 La 3.32-3.63



(5)
Computed, not measured: a relaxed structure of ZrReBr2 at the PBE level of DFT.

Values from the calculation:
E above lowest polymorph = 4.19 eV per formula unit
Total magnetization = 0.605 μB per atom
Electronic total energy = -5.27 eV per atom
ΔE_f (raw) = 0.814 eV/atom

Unit cell a=4.9154 b=4.9154 c=4.9154 alpha=60.00 beta=60.00 gamma=60.00
Last column: nearest neighbours and their distance in Å.
Sites, in units of the cell vectors:
1 Zr 0.0000 0.0000 0.0000  4 Br 3.01, 4 Re 3.01
2 Re 0.2500 0.2500 0.2500  4 Zr 3.01, 4 Br 3.01
3 Br 0.5000 0.5000 0.5000  4 Br 3.01, 4 Re 3.01
4 Br 0.7500 0.7500 0.7500  4 Zr 3.01, 4 Br 3.01



(6)
Computed, not measured: a relaxed structure of BeNbHgOs2 at the PBE level of DFT.

Values from the calculation:
Total magnetization = 0.000 μB per atom
Electronic total energy = -6.57 eV per atom

Unit cell a=4.2707 b=4.2707 c=4.2701 alpha=90.00 beta=90.00 gamma=90.00
Last column: nearest neighbours and their distance in Å.
Sites, in units of the cell vectors:
1 Be 0.0000 0.0000 0.0000  2 Hg 2.14, 4 Os 2.14
2 Nb 0.5000 0.5000 0.5000  8 Os 3.02, 4 Hg 3.02
3 Hg 0.0000 0.0000 0.5000  2 Be 2.14
4 Os 0.0000 0.5000 0.0000  2 Be 2.14
5 Os 0.5000 0.0000 0.0000  2 Be 2.14



(7)
Computed, not measured: a relaxed structure of PbSe3 at the PBE level of DFT.

Values from the calculation:
Total magnetization = 0.000 μB per atom
Electronic total energy = -3.27 eV per atom
ΔE_f (raw) = 0.273 eV/atom

Unit cell a=4.5928 b=4.5928 c=4.5928 alpha=90.00 beta=90.00 gamma=90.00
Last column: nearest neighbours and their distance in Å.
Sites, in units of the cell vectors:
1 Pb 0.0000 0.0000 0.0000  12 Se 3.25
2 Se 0.0000 0.5000 0.5000  8 Se 3.25, 4 Pb 3.25
3 Se 0.5000 0.0000 0.5000  8 Se 3.25, 4 Pb 3.25
4 Se 0.5000 0.5000 0.0000  8 Se 3.25, 4 Pb 3.25



(8)
Computed, not measured: a relaxed structure of MnAgH2 at the PBE level of DFT.

Values from the calculation:
E above lowest polymorph = 0.12 eV per formula unit
Total magnetization = 0.693 μB per atom
Electronic total energy = -4.56 eV per atom

Unit cell a=5.6141 b=5.6141 c=5.6141 alpha=29.26 beta=29.26 gamma=29.26
Last column: nearest neighbours and their distance in Å.
Sites, in units of the cell vectors:
1 Mn 0.0000 0.0000 0.0000  6 H 1.76-1.79
2 Ag 0.1747 0.1747 0.1747  6 H 2.51-2.65
3 H 0.3788 0.3788 0.3788  3 Mn 1.79
4 H 0.6262 0.6262 0.6262  3 Mn 1.76



(9)
Computed, not measured: a relaxed structure of TiGaP2Cl at the PBE level of DFT.

Values from the calculation:
E above lowest polymorph = 3.28 eV per formula unit
Total magnetization = 0.260 μB per atom
Electronic total energy = -4.23 eV per atom
ΔE_f (raw) = 0.491 eV/atom

Unit cell a=4.6462 b=4.6462 c=4.8544 alpha=90.00 beta=90.00 gamma=90.00
Last column: nearest neighbours and their distance in Å.
Sites, in units of the cell vectors:
1 Ti 0.0000 0.0000 0.0000  4 Cl 3.29, 8 P 3.36
2 Ga 0.5000 0.5000 0.5000  4 P 2.32, 2 Cl 2.43
3 P 0.0000 0.5000 0.5000  2 Ga 2.32
4 P 0.5000 0.0000 0.5000  2 Ga 2.32
5 Cl 0.5000 0.5000 0.0000  2 Ga 2.43



(10)
Computed, not measured: a relaxed structure of ZrNbBi at the PBE level of DFT.

Values from the calculation:
Total magnetization = 0.000 μB per atom
Electronic total energy = -7.57 eV per atom

Unit cell a=6.9738 b=5.3656 c=5.9039 alpha=76.29 beta=48.37 gamma=55.33
Last column: nearest neighbours and their distance in Å.
Sites, in units of the cell vectors:
1 Zr 0.0000 0.0000 0.0000  5 Nb 2.97-3.19, 5 Bi 3.07-3.16
2 Zr 0.2500 0.2500 0.2500  5 Nb 2.97-3.19, 5 Bi 3.07-3.16
3 Nb 0.6779 0.6779 0.3221  5 Zr 2.97-3.19, 5 Bi 3.06-3.13
4 Nb 0.9279 0.9279 0.5721  5 Zr 2.97-3.19, 5 Bi 3.06-3.13
5 Bi 0.3420 0.3420 0.6580  5 Nb 3.06-3.13, 5 Zr 3.07-3.16
6 Bi 0.5920 0.5920 0.9080  5 Nb 3.06-3.13, 5 Zr 3.07-3.16



(11)
Computed, not measured: a relaxed structure of HgGeBi at the PBE level of DFT.

Values from the calculation:
E above lowest polymorph = 0.12 eV per formula unit
Total magnetization = 0.000 μB per atom
Electronic total energy = -2.77 eV per atom

Unit cell a=3.9389 b=3.9389 c=10.5965 alpha=100.10 beta=100.10 gamma=90.01
Last column: nearest neighbours and their distance in Å.
Sites, in units of the cell vectors:
1 Hg 0.1991 0.1991 0.4135  4 Hg 3.21-3.40, 5 Bi 3.29-3.58
2 Hg 0.8009 0.8009 0.5865  4 Hg 3.21-3.40, 5 Bi 3.29-3.58
3 Ge 0.4987 0.0008 0.0000  4 Ge 2.78-2.79
4 Ge 0.9992 0.5013 0.0000  4 Ge 2.78-2.79
5 Bi 0.3908 0.3901 0.7621  4 Ge 3.13-3.15, 4 Hg 3.29-3.35
6 Bi 0.6099 0.6092 0.2379  4 Ge 3.13-3.15, 4 Hg 3.29-3.35



(12)
Computed, not measured: a relaxed structure of Tm4HfSc5 at the PBE level of DFT.

Values from the calculation:
Total magnetization = 0.000 μB per atom
Electronic total energy = -5.71 eV per atom

Unit cell a=7.5896 b=7.5896 c=7.5896 alpha=97.53 beta=97.53 gamma=137.56
Last column: nearest neighbours and their distance in Å.
Sites, in units of the cell vectors:
1 Tm 0.0000 0.3174 0.3174  5 Sc 3.15-3.49, 1 Hf 3.41
2 Tm 0.0000 0.6826 0.6826  5 Sc 3.15-3.49, 1 Hf 3.41
3 Tm 0.3174 0.0000 0.3174  5 Sc 3.15-3.49, 1 Hf 3.41
4 Tm 0.6826 0.0000 0.6826  5 Sc 3.15-3.49, 1 Hf 3.41
5 Hf 0.7734 0.7734 0.0000  2 Sc 2.63-2.86
6 Sc 0.2525 0.2525 0.0000  2 Hf 2.63-2.86
7 Sc 0.3334 0.3334 0.6283  1 Hf 2.98, 3 Sc 3.01-3.29, 2 Tm 3.15
8 Sc 0.3334 0.7050 0.0000  1 Hf 2.98, 3 Sc 3.01-3.29, 2 Tm 3.15
9 Sc 0.7050 0.3334 0.0000  1 Hf 2.98, 3 Sc 3.01-3.29, 2 Tm 3.15
10 Sc 0.7050 0.7050 0.3717  1 Hf 2.98, 3 Sc 3.01-3.29, 2 Tm 3.15